Computed, not measured: MgCuMo2O7 at its PBEsol-relaxed geometry at the SCAN level of DFT.

Cell: 9.229 8.660 10.925 Å, 90.00 102.77 90.00°
Space group P2/c (No. 13)
Inequivalent atoms, fractional coordinates:
Mg 0.000 0.080 0.250 (multiplicity 2)
Mg 0.342 0.424 0.918 (multiplicity 4)
Cu 0.000 0.432 0.250 (multiplicity 2)
Cu 0.323 0.067 0.912 (multiplicity 4)
Mo 0.039 0.262 0.958 (multiplicity 4)
Mo 0.299 0.243 0.206 (multiplicity 4)
Mo 0.367 0.245 0.628 (multiplicity 4)
O 0.047 0.080 0.890 (multiplicity 4)
O 0.057 0.265 0.136 (multiplicity 4)
O 0.098 0.426 0.881 (multiplicity 4)
O 0.165 0.285 0.587 (multiplicity 4)
O 0.233 0.083 0.284 (multiplicity 4)
O 0.279 0.248 0.029 (multiplicity 4)
O 0.305 0.427 0.272 (multiplicity 4)
O 0.375 0.066 0.555 (multiplicity 4)
O 0.390 0.236 0.807 (multiplicity 4)
O 0.419 0.411 0.548 (multiplicity 4)
O 0.500 0.197 0.250 (multiplicity 2)

Calculated values
* D(E_F): 1.876 states/eV per cell
* crystal system: monoclinic
* calculated volume: 12.90 Å³ per atom
* formation energy from raw total energies: -46.9 kcal/mol of atoms
* DFT total energy: -14.176 eV/atom